# Tm2MnPd

A relaxed structure of Tm2MnPd (PBE-GGA, Alexandria via LeMat-Bulk).

Cell and atoms, written as extended XYZ:
```
4
Lattice="4.910 0.000 0.000 2.455 4.252 0.000 2.455 1.417 4.009" Properties=species:S:1:pos:R:3 pbc="T T T"
Mn 0.000 0.000 0.000
Tm 2.455 1.417 1.002
Tm 7.365 4.252 3.007
Pd 4.910 2.835 2.004
```

Computed properties:
As for the density of states at the Fermi level: 1.268 states/eV per atom. Its crystal system is cubic. The calculated total energy comes out at -24.6 eV for the cell shown. The excess energy over the best structure of this formula in the dataset is 78 meV/atom. The calculation puts the energy relative to the elements at -0.314 eV/atom.